LaTb12Pm7 | PBE | optimized geometry

Summary:
magnetization	0.0	Bohr magnetons per cell
space group	No. 148
energy relative to the elements	0.2275	eV per atom
energy above the lowest structure with this stoichiometry	0.000	eV per atom
VASP energy	-4.46	eV per atom

abc: 8.7895 8.7895 8.7895
angles: 88.95 88.95 88.95
With the nearest neighbours (Å) after each atom.
Sites, in units of the cell vectors:
Tb (0.7765, 0.3675, 0.2372)  4 Pm 3.26-3.52, 2 Tb 3.50-3.65
Tb (0.6552, 0.5574, 0.8859)  3 Pm 3.45-3.80, 6 Tb 3.50-3.81
Tb (0.2235, 0.6325, 0.7628)  4 Pm 3.26-3.52, 2 Tb 3.50-3.65
Tb (0.6325, 0.7628, 0.2235)  4 Pm 3.26-3.52, 2 Tb 3.50-3.65
Tb (0.5574, 0.8859, 0.6552)  3 Pm 3.45-3.80, 6 Tb 3.50-3.81
Tb (0.7628, 0.2235, 0.6325)  4 Pm 3.26-3.52, 2 Tb 3.50-3.65
Tb (0.2372, 0.7765, 0.3675)  4 Pm 3.26-3.52, 2 Tb 3.50-3.65
Tb (0.8859, 0.6552, 0.5574)  3 Pm 3.45-3.80, 6 Tb 3.50-3.81
Tb (0.3448, 0.4426, 0.1141)  3 Pm 3.45-3.80, 6 Tb 3.50-3.81
Tb (0.3675, 0.2372, 0.7765)  4 Pm 3.26-3.52, 2 Tb 3.50-3.65
Tb (0.4426, 0.1141, 0.3448)  3 Pm 3.45-3.80, 6 Tb 3.50-3.81
Tb (0.1141, 0.3448, 0.4426)  3 Pm 3.45-3.80, 6 Tb 3.50-3.81
Pm (0.6392, 0.1223, 0.0010)  4 Tb 3.26-3.50, 1 Pm 3.29, 1 La 3.33
Pm (0.8777, 0.9990, 0.3608)  4 Tb 3.26-3.50, 1 Pm 3.29, 1 La 3.33
Pm (0.3608, 0.8777, 0.9990)  4 Tb 3.26-3.50, 1 Pm 3.29, 1 La 3.33
Pm (0.1223, 0.0010, 0.6392)  4 Tb 3.26-3.50, 1 Pm 3.29, 1 La 3.33
Pm (0.0010, 0.6392, 0.1223)  4 Tb 3.26-3.50, 1 Pm 3.29, 1 La 3.33
Pm (0.5000, 0.5000, 0.5000)  12 Tb 3.52-3.73
Pm (0.9990, 0.3608, 0.8777)  4 Tb 3.26-3.50, 1 Pm 3.29, 1 La 3.33
La (0.0000, 0.0000, 0.0000)  6 Pm 3.33